# 1
# ScRu, optimized geometry, DFT GGA-PBE
data_ScRu
_chemical_formula_sum 'Sc4 Ru4'
_symmetry_space_group_name_H-M 'P 63/m m c'
_symmetry_Int_Tables_number 194
_symmetry_space_group_name_Hall '-P 6c 2c'
_cell_length_a 4.4587
_cell_length_b 4.4587
_cell_length_c 8.4960
_cell_angle_alpha 90.00
_cell_angle_beta 90.00
_cell_angle_gamma 120.00
loop_
_atom_site_label
_atom_site_type_symbol
_atom_site_fract_x
_atom_site_fract_y
_atom_site_fract_z
_atom_site_occupancy
Sc1 Sc 0.3333 0.6667 0.0818 1
Ru1 Ru 0.0000 0.0000 0.2500 1
Ru2 Ru 0.3333 0.6667 0.7500 1
# - Formation energy from the elements: -19 kJ/mol of formula units
# - DOS(E_F): 8.3 states/eV/cell
# - Total DFT energy (no corrections): -7.900 eV/atom

=====

# 2
# Sc3Ru, optimized geometry, DFT GGA-PBE
data_Sc3Ru
_chemical_formula_sum 'Sc6 Ru2'
_symmetry_space_group_name_H-M 'I m m m'
_symmetry_Int_Tables_number 71
_symmetry_space_group_name_Hall '-I 2 2'
_cell_length_a 3.332
_cell_length_b 4.883
_cell_length_c 10.002
_cell_angle_alpha 90.00
_cell_angle_beta 90.00
_cell_angle_gamma 90.00
loop_
_atom_site_label
_atom_site_type_symbol
_atom_site_fract_x
_atom_site_fract_y
_atom_site_fract_z
_atom_site_occupancy
Sc1 Sc 0.000 0.000 0.000 1
Sc2 Sc 0.000 0.500 0.205 1
Ru1 Ru 0.000 0.000 0.500 1
# - Formation energy from the elements: -137 kJ/mol of formula units
# - DOS(E_F): 7.6 states/eV/cell
# - Total DFT energy (no corrections): -7.422 eV/atom

=====

# 3
# ScRu, optimized geometry, DFT GGA-PBE
data_ScRu
_chemical_formula_sum 'Sc8 Ru8'
_symmetry_space_group_name_H-M 'I -4 3 m'
_symmetry_Int_Tables_number 217
_symmetry_space_group_name_Hall 'I -4 2 3'
_cell_length_a 7.678
_cell_length_b 7.678
_cell_length_c 7.678
_cell_angle_alpha 90.00
_cell_angle_beta 90.00
_cell_angle_gamma 90.00
loop_
_atom_site_label
_atom_site_type_symbol
_atom_site_fract_x
_atom_site_fract_y
_atom_site_fract_z
_atom_site_occupancy
Sc1 Sc 0.210 0.210 0.210 1
Ru1 Ru 0.123 0.123 0.877 1
# - Formation energy from the elements: 157 kJ/mol of formula units
# - DOS(E_F): 34.2 states/eV/cell
# - Total DFT energy (no corrections): -6.991 eV/atom

=====

# 4
# ScRu, optimized geometry, DFT GGA-PBE
data_ScRu
_chemical_formula_sum 'Sc2 Ru2'
_symmetry_space_group_name_H-M 'P -3 m 1'
_symmetry_Int_Tables_number 164
_symmetry_space_group_name_Hall '-P 3 2"'
_cell_length_a 3.0532
_cell_length_b 3.0532
_cell_length_c 9.0449
_cell_angle_alpha 90.00
_cell_angle_beta 90.00
_cell_angle_gamma 120.00
loop_
_atom_site_label
_atom_site_type_symbol
_atom_site_fract_x
_atom_site_fract_y
_atom_site_fract_z
_atom_site_occupancy
Sc1 Sc 0.3333 0.6667 0.3360 1
Ru1 Ru 0.3333 0.6667 0.8885 1
# - Formation energy from the elements: 13 kJ/mol of formula units
# - DOS(E_F): 3.6 states/eV/cell
# - Total DFT energy (no corrections): -7.737 eV/atom

=====

# 5
# Sc3Ru4, optimized geometry, DFT GGA-PBE
data_Sc3Ru4
_chemical_formula_sum 'Sc3 Ru4'
_symmetry_space_group_name_H-M 'P 6/m m m'
_symmetry_Int_Tables_number 191
_symmetry_space_group_name_Hall '-P 6 2'
_cell_length_a 5.5179
_cell_length_b 5.5179
_cell_length_c 4.6161
_cell_angle_alpha 90.00
_cell_angle_beta 90.00
_cell_angle_gamma 120.00
loop_
_atom_site_label
_atom_site_type_symbol
_atom_site_fract_x
_atom_site_fract_y
_atom_site_fract_z
_atom_site_occupancy
Sc1 Sc 0.0000 0.5000 0.0000 1
Ru1 Ru 0.0000 0.0000 0.2512 1
Ru2 Ru 0.3333 0.6667 0.5000 1
# - Formation energy from the elements: 203 kJ/mol of formula units
# - DOS(E_F): 7.6 states/eV/cell
# - Total DFT energy (no corrections): -7.714 eV/atom
# - Energy relative to the lowest polymorph listed for this composition: 374.9 meV per atom

=====

# 6
# ScRuSe2, optimized geometry, DFT GGA-PBE
data_ScRuSe2
_chemical_formula_sum 'Sc2 Ru2 Se4'
_symmetry_space_group_name_H-M 'I m m 2'
_symmetry_Int_Tables_number 44
_cell_length_a 3.251
_cell_length_b 4.491
_cell_length_c 9.909
_cell_angle_alpha 90.00
_cell_angle_beta 90.00
_cell_angle_gamma 90.00
loop_
_symmetry_equiv_pos_as_xyz
'x,y,z'
'-x,-y,z'
'-x,y,z'
'x,-y,z'
'x+1/2,y+1/2,z+1/2'
'-x+1/2,-y+1/2,z+1/2'
'-x+1/2,y+1/2,z+1/2'
'x+1/2,-y+1/2,z+1/2'
loop_
_atom_site_label
_atom_site_type_symbol
_atom_site_fract_x
_atom_site_fract_y
_atom_site_fract_z
_atom_site_occupancy
Sc1 Sc 0.000 0.000 0.000 1
Ru1 Ru 0.000 0.500 0.210 1
Se1 Se 0.000 0.000 0.522 1
Se2 Se 0.000 0.500 0.735 1
# - Raw formation energy: -555 meV per atom
# - DOS(E_F): 4.1 states/eV/cell
# - Total DFT energy (no corrections): -6.200 eV/atom
# - Energy relative to the lowest polymorph listed for this composition: 185.7 meV per atom

=====

# 7
# ScRu2Se, optimized geometry, DFT GGA-PBE
data_ScRu2Se
_chemical_formula_sum 'Sc4 Ru8 Se4'
_symmetry_space_group_name_H-M 'F -4 3 m'
_symmetry_Int_Tables_number 216
_symmetry_space_group_name_Hall 'F -4 2 3'
_cell_length_a 6.385
_cell_length_b 6.385
_cell_length_c 6.385
_cell_angle_alpha 90.00
_cell_angle_beta 90.00
_cell_angle_gamma 90.00
loop_
_atom_site_label
_atom_site_type_symbol
_atom_site_fract_x
_atom_site_fract_y
_atom_site_fract_z
_atom_site_occupancy
Sc1 Sc 0.000 0.000 0.000 1
Ru1 Ru 0.000 0.000 0.500 1
Ru2 Ru 0.250 0.250 0.250 1
Se1 Se 0.250 0.250 0.750 1
# - Raw formation energy: 53 meV per atom
# - DOS(E_F): 25.1 states/eV/cell
# - Total DFT energy (no corrections): -7.039 eV/atom

=====

# 8
# Sc2RuSe, optimized geometry, DFT GGA-PBE
data_Sc2RuSe
_chemical_formula_sum 'Sc6 Ru3 Se3'
_symmetry_space_group_name_H-M 'R -3 m'
_symmetry_Int_Tables_number 166
_symmetry_space_group_name_Hall '-R 3 2"'
_cell_length_a 3.4958
_cell_length_b 3.4958
_cell_length_c 21.8655
_cell_angle_alpha 90.00
_cell_angle_beta 90.00
_cell_angle_gamma 120.00
loop_
_atom_site_label
_atom_site_type_symbol
_atom_site_fract_x
_atom_site_fract_y
_atom_site_fract_z
_atom_site_occupancy
Sc1 Sc 0.0000 0.0000 0.2487 1
Ru1 Ru 0.0000 0.0000 0.5000 1
Se1 Se 0.0000 0.0000 0.0000 1
# - Raw formation energy: -842 meV per atom
# - DOS(E_F): 7.0 states/eV/cell
# - Total DFT energy (no corrections): -7.198 eV/atom

=====

# 9
# ScRu2Se, optimized geometry, DFT GGA-PBE
data_ScRu2Se
_chemical_formula_sum 'Sc2 Ru4 Se2'
_symmetry_space_group_name_H-M 'C m m m'
_symmetry_Int_Tables_number 65
_symmetry_space_group_name_Hall '-C 2 2'
_cell_length_a 3.145
_cell_length_b 5.000
_cell_length_c 8.412
_cell_angle_alpha 90.00
_cell_angle_beta 90.00
_cell_angle_gamma 90.00
loop_
_atom_site_label
_atom_site_type_symbol
_atom_site_fract_x
_atom_site_fract_y
_atom_site_fract_z
_atom_site_occupancy
Sc1 Sc 0.000 0.000 0.000 1
Ru1 Ru 0.000 0.500 0.253 1
Se1 Se 0.000 0.000 0.500 1
# - Raw formation energy: 205 meV per atom
# - DOS(E_F): 10.3 states/eV/cell
# - Total DFT energy (no corrections): -6.887 eV/atom

=====

# 10
# ScRuSe, optimized geometry, DFT GGA-PBE
data_ScRuSe
_chemical_formula_sum 'Sc4 Ru4 Se4'
_symmetry_space_group_name_H-M 'F -4 3 m'
_symmetry_Int_Tables_number 216
_symmetry_space_group_name_Hall 'F -4 2 3'
_cell_length_a 6.074
_cell_length_b 6.074
_cell_length_c 6.074
_cell_angle_alpha 90.00
_cell_angle_beta 90.00
_cell_angle_gamma 90.00
loop_
_atom_site_label
_atom_site_type_symbol
_atom_site_fract_x
_atom_site_fract_y
_atom_site_fract_z
_atom_site_occupancy
Sc1 Sc 0.000 0.000 0.000 1
Ru1 Ru 0.250 0.250 0.250 1
Se1 Se 0.000 0.000 0.500 1
# - Raw formation energy: -546 meV per atom
# - DOS(E_F): 16.4 states/eV/cell
# - Total DFT energy (no corrections): -6.910 eV/atom
# - Energy relative to the lowest polymorph listed for this composition: 135.6 meV per atom

=====

# 11
# Sc2RuSe, optimized geometry, DFT GGA-PBE
data_Sc2RuSe
_chemical_formula_sum 'Sc6 Ru3 Se3'
_symmetry_space_group_name_H-M 'R -3 m'
_symmetry_Int_Tables_number 166
_symmetry_space_group_name_Hall '-R 3 2"'
_cell_length_a 3.4019
_cell_length_b 3.4019
_cell_length_c 26.3007
_cell_angle_alpha 90.00
_cell_angle_beta 90.00
_cell_angle_gamma 120.00
loop_
_atom_site_label
_atom_site_type_symbol
_atom_site_fract_x
_atom_site_fract_y
_atom_site_fract_z
_atom_site_occupancy
Sc1 Sc 0.0000 0.0000 0.0983 1
Ru1 Ru 0.0000 0.0000 0.5000 1
Se1 Se 0.0000 0.0000 0.0000 1
# - Raw formation energy: -310 meV per atom
# - DOS(E_F): 15.7 states/eV/cell
# - Total DFT energy (no corrections): -6.666 eV/atom

=====

# 12
# ScRu2Se, optimized geometry, DFT GGA-PBE
data_ScRu2Se
_chemical_formula_sum 'Sc1 Ru2 Se1'
_symmetry_space_group_name_H-M 'P 4 m m'
_symmetry_Int_Tables_number 99
_cell_length_a 3.037
_cell_length_b 3.037
_cell_length_c 7.059
_cell_angle_alpha 90.00
_cell_angle_beta 90.00
_cell_angle_gamma 90.00
loop_
_symmetry_equiv_pos_as_xyz
'x,y,z'
'-y,x,z'
'-x,-y,z'
'y,-x,z'
'-x,y,z'
'y,x,z'
'x,-y,z'
'-y,-x,z'
loop_
_atom_site_label
_atom_site_type_symbol
_atom_site_fract_x
_atom_site_fract_y
_atom_site_fract_z
_atom_site_occupancy
Sc1 Sc 0.000 0.000 0.000 1
Ru1 Ru 0.000 0.000 0.509 1
Ru2 Ru 0.500 0.500 0.730 1
Se1 Se 0.500 0.500 0.267 1
# - Raw formation energy: -181 meV per atom
# - DOS(E_F): 3.1 states/eV/cell
# - Total DFT energy (no corrections): -7.273 eV/atom

=====

# 13
# Sc2RuSe, optimized geometry, DFT GGA-PBE
data_Sc2RuSe
_chemical_formula_sum 'Sc2 Ru1 Se1'
_symmetry_space_group_name_H-M 'P 4 m m'
_symmetry_Int_Tables_number 99
_cell_length_a 3.807
_cell_length_b 3.807
_cell_length_c 5.598
_cell_angle_alpha 90.00
_cell_angle_beta 90.00
_cell_angle_gamma 90.00
loop_
_symmetry_equiv_pos_as_xyz
'x,y,z'
'-y,x,z'
'-x,-y,z'
'y,-x,z'
'-x,y,z'
'y,x,z'
'x,-y,z'
'-y,-x,z'
loop_
_atom_site_label
_atom_site_type_symbol
_atom_site_fract_x
_atom_site_fract_y
_atom_site_fract_z
_atom_site_occupancy
Sc1 Sc 0.000 0.000 0.000 1
Sc2 Sc 0.500 0.500 0.376 1
Ru1 Ru 0.500 0.500 0.951 1
Se1 Se 0.000 0.000 0.499 1
# - Raw formation energy: -783 meV per atom
# - DOS(E_F): 1.8 states/eV/cell
# - Total DFT energy (no corrections): -7.139 eV/atom

=====

# 14
# ScRuSe2, optimized geometry, DFT GGA-PBE
data_ScRuSe2
_chemical_formula_sum 'Sc4 Ru4 Se8'
_symmetry_space_group_name_H-M 'F -4 3 m'
_symmetry_Int_Tables_number 216
_symmetry_space_group_name_Hall 'F -4 2 3'
_cell_length_a 6.606
_cell_length_b 6.606
_cell_length_c 6.606
_cell_angle_alpha 90.00
_cell_angle_beta 90.00
_cell_angle_gamma 90.00
loop_
_atom_site_label
_atom_site_type_symbol
_atom_site_fract_x
_atom_site_fract_y
_atom_site_fract_z
_atom_site_occupancy
Sc1 Sc 0.000 0.000 0.000 1
Ru1 Ru 0.250 0.250 0.750 1
Se1 Se 0.000 0.000 0.500 1
Se2 Se 0.250 0.250 0.250 1
# - Raw formation energy: -44 meV per atom
# - DOS(E_F): 14.1 states/eV/cell
# - Total DFT energy (no corrections): -5.688 eV/atom
# - Energy relative to the lowest polymorph listed for this composition: 697.0 meV per atom

=====

# 15
# ScRuSe2, optimized geometry, DFT GGA-PBE
data_ScRuSe2
_chemical_formula_sum 'Sc2 Ru2 Se4'
_symmetry_space_group_name_H-M 'I -4 m 2'
_symmetry_Int_Tables_number 119
_symmetry_space_group_name_Hall 'I -4 -2'
_cell_length_a 3.709
_cell_length_b 3.709
_cell_length_c 10.506
_cell_angle_alpha 90.00
_cell_angle_beta 90.00
_cell_angle_gamma 90.00
loop_
_atom_site_label
_atom_site_type_symbol
_atom_site_fract_x
_atom_site_fract_y
_atom_site_fract_z
_atom_site_occupancy
Sc1 Sc 0.000 0.000 0.000 1
Ru1 Ru 0.000 0.500 0.250 1
Se1 Se 0.000 0.000 0.500 1
Se2 Se 0.000 0.500 0.750 1
# - Raw formation energy: -384 meV per atom
# - DOS(E_F): 8.8 states/eV/cell
# - Total DFT energy (no corrections): -6.029 eV/atom
# - Energy relative to the lowest polymorph listed for this composition: 356.6 meV per atom

=====

# 16
# ScRuSe, optimized geometry, DFT GGA-PBE
data_ScRuSe
_chemical_formula_sum 'Sc1 Ru1 Se1'
_symmetry_space_group_name_H-M 'P -6 m 2'
_symmetry_Int_Tables_number 187
_symmetry_space_group_name_Hall 'P -6 2'
_cell_length_a 4.2510
_cell_length_b 4.2510
_cell_length_c 3.2905
_cell_angle_alpha 90.00
_cell_angle_beta 90.00
_cell_angle_gamma 120.00
loop_
_atom_site_label
_atom_site_type_symbol
_atom_site_fract_x
_atom_site_fract_y
_atom_site_fract_z
_atom_site_occupancy
Sc1 Sc 0.0000 0.0000 0.0000 1
Ru1 Ru 0.3333 0.6667 0.5000 1
Se1 Se 0.6667 0.3333 0.5000 1
# - Raw formation energy: -682 meV per atom
# - DOS(E_F): 2.2 states/eV/cell
# - Total DFT energy (no corrections): -7.046 eV/atom
# - Energy relative to the lowest polymorph listed for this composition: 0.0 meV per atom

=====

# 17
# ScRuSe2, optimized geometry, DFT GGA-PBE
data_ScRuSe2
_chemical_formula_sum 'Sc2 Ru2 Se4'
_symmetry_space_group_name_H-M 'C m m m'
_symmetry_Int_Tables_number 65
_symmetry_space_group_name_Hall '-C 2 2'
_cell_length_a 4.069
_cell_length_b 5.227
_cell_length_c 6.662
_cell_angle_alpha 90.00
_cell_angle_beta 90.00
_cell_angle_gamma 90.00
loop_
_atom_site_label
_atom_site_type_symbol
_atom_site_fract_x
_atom_site_fract_y
_atom_site_fract_z
_atom_site_occupancy
Sc1 Sc 0.000 0.000 0.000 1
Ru1 Ru 0.000 0.000 0.500 1
Se1 Se 0.000 0.500 0.263 1
# - Raw formation energy: -386 meV per atom
# - DOS(E_F): 7.1 states/eV/cell
# - Total DFT energy (no corrections): -6.030 eV/atom
# - Energy relative to the lowest polymorph listed for this composition: 355.4 meV per atom

=====

# 18
# ScRuSe2, optimized geometry, DFT GGA-PBE
data_ScRuSe2
_chemical_formula_sum 'Sc4 Ru4 Se8'
_symmetry_space_group_name_H-M 'I -4 2 d'
_symmetry_Int_Tables_number 122
_symmetry_space_group_name_Hall 'I -4 2bw'
_cell_length_a 5.087
_cell_length_b 5.087
_cell_length_c 14.070
_cell_angle_alpha 90.00
_cell_angle_beta 90.00
_cell_angle_gamma 90.00
loop_
_atom_site_label
_atom_site_type_symbol
_atom_site_fract_x
_atom_site_fract_y
_atom_site_fract_z
_atom_site_occupancy
Sc1 Sc 0.000 0.000 0.000 1
Ru1 Ru 0.000 0.000 0.500 1
Se1 Se 0.216 0.250 0.625 1
# - Raw formation energy: -537 meV per atom
# - DOS(E_F): 11.4 states/eV/cell
# - Total DFT energy (no corrections): -6.181 eV/atom
# - Energy relative to the lowest polymorph listed for this composition: 203.9 meV per atom

=====

# 19
# ScRuSe2, optimized geometry, DFT GGA-PBE
data_ScRuSe2
_chemical_formula_sum 'Sc1 Ru1 Se2'
_symmetry_space_group_name_H-M 'P 4/m m m'
_symmetry_Int_Tables_number 123
_symmetry_space_group_name_Hall '-P 4 2'
_cell_length_a 4.542
_cell_length_b 4.542
_cell_length_c 3.249
_cell_angle_alpha 90.00
_cell_angle_beta 90.00
_cell_angle_gamma 90.00
loop_
_atom_site_label
_atom_site_type_symbol
_atom_site_fract_x
_atom_site_fract_y
_atom_site_fract_z
_atom_site_occupancy
Sc1 Sc 0.000 0.000 0.000 1
Ru1 Ru 0.500 0.500 0.000 1
Se1 Se 0.000 0.500 0.500 1
# - Raw formation energy: -664 meV per atom
# - DOS(E_F): 1.8 states/eV/cell
# - Total DFT energy (no corrections): -6.308 eV/atom
# - Energy relative to the lowest polymorph listed for this composition: 77.1 meV per atom

=====

# 20
# ScRu2Se, optimized geometry, DFT GGA-PBE
data_ScRu2Se
_chemical_formula_sum 'Sc4 Ru8 Se4'
_symmetry_space_group_name_H-M 'I -4 2 d'
_symmetry_Int_Tables_number 122
_symmetry_space_group_name_Hall 'I -4 2bw'
_cell_length_a 7.350
_cell_length_b 7.350
_cell_length_c 5.307
_cell_angle_alpha 90.00
_cell_angle_beta 90.00
_cell_angle_gamma 90.00
loop_
_atom_site_label
_atom_site_type_symbol
_atom_site_fract_x
_atom_site_fract_y
_atom_site_fract_z
_atom_site_occupancy
Sc1 Sc 0.000 0.000 0.000 1
Ru1 Ru 0.178 0.250 0.625 1
Se1 Se 0.000 0.000 0.500 1
# - Raw formation energy: 66 meV per atom
# - DOS(E_F): 20.2 states/eV/cell
# - Total DFT energy (no corrections): -7.026 eV/atom